VASP calculation (GGA-PBE) on an optimized crystal structure of HgPO2F.

## Properties
ΔE_f (raw) = 715.3 meV per atom
Symmetry = P4/mmm (123)

POSCAR file:
```
HgPO2F
1.0
4.5583 0.0000 0.0000
0.0000 4.5583 0.0000
0.0000 0.0000 3.4363
Hg P O F
1 1 2 1
Cartesian
0.0000 0.0000 0.0000 Hg
2.2792 2.2792 0.0000 P
0.0000 2.2792 1.7182 O
2.2792 0.0000 1.7182 O
2.2792 2.2792 1.7182 F
```